Computed, not measured: an optimized crystal structure of AcPrSc at the PBE level of DFT.

Structure (POSCAR):
```
AcPrSc
1.0
-1.591 -0.166 -3.405
1.555 -3.379 -0.561
-5.932 -1.453 4.920
Pr Sc Ac
1 1 1
direct
0.012 0.012 0.024
0.662 0.662 0.324
0.326 0.326 0.652
```

Summary:
E above lowest polymorph = 0 meV/atom
E_tot = -4.975 eV/atom